Entry 1:
This record from the Alexandria database describes a relaxed AcPr7Ho2 crystal. The functional is PBE.

Summary:
- size of the total moment (μB per cell) = 0.00
- excess energy over the best structure of this formula in the dataset (meV per atom) = 0.0
- calculated volume (Å³/cell) = 420
- SG = Cmmm, No. 65
- formation enthalpy at 0 K (eV/atom) = 0.581

Lattice parameters (Å, degrees): 8.938 8.938 5.971 90.00 90.00 118.27
Positions (direct):
Ho: 0.283 0.717 0.500
Pr: 0.500 0.500 0.500
Pr: 0.696 0.921 0.500
Ho: 0.717 0.283 0.500
Pr: 0.921 0.696 0.500
Pr: 0.663 0.337 0.000
Pr: 0.079 0.304 0.500
Pr: 0.337 0.663 0.000
Ac: 0.000 0.000 0.000
Pr: 0.304 0.079 0.500



Entry 2:
This record from the Alexandria database describes a relaxed Ac8Pr4Ho crystal. The functional is PBE.

Summary:
- size of the total moment (μB per cell) = 0.00
- calculated volume (Å³/cell) = 534
- SG = C2/m, No. 12
- formation enthalpy at 0 K (eV/atom) = 0.034

Lattice parameters (Å, degrees): 5.514 17.677 6.690 64.05 65.66 81.03
Positions (direct):
Pr: 0.124 0.130 0.621
Pr: 0.359 0.442 0.840
Ac: 0.744 0.289 0.223
Ac: 0.435 0.206 0.924
Ac: 0.970 0.594 0.465
Ac: 0.587 0.753 0.072
Ac: 0.819 0.053 0.308
Ac: 0.278 0.670 0.774
Ac: 0.052 0.365 0.531
Pr: 0.898 0.828 0.375
Ho: 0.511 0.979 0.998
Ac: 0.203 0.905 0.689
Pr: 0.663 0.517 0.157



Entry 3:
This record from the Alexandria database describes a relaxed Ac3Pr4Ho crystal. The functional is PBE.

Summary:
- size of the total moment (μB per cell) = 0.00
- calculated volume (Å³/cell) = 618
- SG = Pmmn, No. 59
- formation enthalpy at 0 K (eV/atom) = 0.034

Lattice parameters (Å, degrees): 5.379 10.717 10.722 90.00 90.00 90.00
Positions (direct):
Pr: 0.564 0.880 0.255
Ho: 0.564 0.634 0.500
Ac: 0.564 0.630 0.000
Ac: 0.564 0.369 0.754
Pr: 0.064 0.883 0.000
Ac: 0.064 0.631 0.254
Pr: 0.064 0.120 0.245
Pr: 0.564 0.880 0.745
Pr: 0.564 0.117 0.500
Ac: 0.564 0.369 0.246
Pr: 0.564 0.122 0.000
Pr: 0.064 0.120 0.755
Ac: 0.064 0.631 0.746
Ho: 0.064 0.366 0.000
Ac: 0.064 0.370 0.500
Pr: 0.064 0.878 0.500



Entry 4:
This record from the Alexandria database describes a relaxed Ac2Pr7Ho2 crystal. The functional is PBE.

Summary:
- size of the total moment (μB per cell) = 0.00
- excess energy over the best structure of this formula in the dataset (meV per atom) = 65.8
- calculated volume (Å³/cell) = 415
- SG = C2/m, No. 12
- formation enthalpy at 0 K (eV/atom) = 0.190

Lattice parameters (Å, degrees): 9.823 8.456 9.823 45.80 124.14 134.20
Positions (direct):
Pr: 0.543 0.281 0.457
Ho: 0.787 0.500 0.787
Pr: 0.000 0.000 0.000
Ac: 0.253 0.067 0.747
Ho: 0.213 0.500 0.213
Pr: 0.470 0.728 0.916
Pr: 0.457 0.719 0.543
Pr: 0.530 0.272 0.084
Pr: 0.916 0.272 0.470
Pr: 0.084 0.728 0.530
Ac: 0.747 0.933 0.253



Entry 5:
This record from the Alexandria database describes a relaxed AcPr6Ho3 crystal. The functional is PBE.

Summary:
- size of the total moment (μB per cell) = 0.00
- excess energy over the best structure of this formula in the dataset (meV per atom) = 139.5
- calculated volume (Å³/cell) = 735
- SG = Cmc2_1, No. 36
- formation enthalpy at 0 K (eV/atom) = 0.183

Lattice parameters (Å, degrees): 9.523 8.832 8.832 98.43 90.00 90.00
Positions (direct):
Pr: 0.154 0.803 0.582
Pr: 0.486 0.233 0.767
Pr: 0.797 0.422 0.103
Ho: 0.466 0.864 0.702
Ho: 0.896 0.517 0.483
Pr: 0.297 0.103 0.422
Ho: 0.966 0.702 0.864
Ho: 0.396 0.483 0.517
Pr: 0.238 0.986 0.014
Pr: 0.654 0.197 0.418
Pr: 0.986 0.767 0.233
Pr: 0.154 0.418 0.197
Pr: 0.797 0.897 0.578
Pr: 0.738 0.014 0.986
Ho: 0.966 0.136 0.298
Pr: 0.654 0.582 0.803
Ho: 0.466 0.298 0.136
Ac: 0.532 0.747 0.253
Pr: 0.297 0.578 0.897
Ac: 0.032 0.253 0.747



Entry 6:
This record from the Alexandria database describes a relaxed AcPrHo3 crystal. The functional is PBE.

Summary:
- size of the total moment (μB per cell) = 0.00
- excess energy over the best structure of this formula in the dataset (meV per atom) = 41.0
- calculated volume (Å³/cell) = 698
- SG = C2/c, No. 15
- formation enthalpy at 0 K (eV/atom) = 0.088

Lattice parameters (Å, degrees): 6.723 11.502 11.502 51.85 86.71 86.71
Positions (direct):
Ho: 0.394 0.478 0.371
Ho: 0.424 0.910 0.417
Ac: 0.750 0.748 0.252
Ho: 0.576 0.090 0.583
Ac: 0.250 0.889 0.111
Ho: 0.894 0.371 0.478
Pr: 0.348 0.647 0.796
Ho: 0.904 0.046 0.236
Ho: 0.596 0.764 0.954
Ac: 0.750 0.111 0.889
Ho: 0.106 0.629 0.522
Pr: 0.652 0.353 0.204
Ho: 0.924 0.417 0.910
Ac: 0.250 0.252 0.748
Ho: 0.096 0.954 0.764
Ho: 0.404 0.236 0.046
Pr: 0.848 0.796 0.647
Ho: 0.606 0.522 0.629
Ho: 0.076 0.583 0.090
Pr: 0.152 0.204 0.353



| no. | DOS at the Fermi energy (states/eV/atom) |
| --- | --- |
| 1 | 1.76 |
| 2 | 1.73 |
| 3 | 1.66 |
| 4 | 1.16 |
| 5 | 1.34 |
| 6 | 1.22 |